[1]
## Sr2Li2TcO6 (GGA-PBE)

Data for crystalline Sr2Li2TcO6 at its relaxed geometry. Values from VASP.

Structure (Quantum ESPRESSO input):
```
&SYSTEM
  ibrav = 0, nat = 11, ntyp = 4
/
ATOMIC_SPECIES
O 16.00 O.upf
Tc 98.00 Tc.upf
Li 6.94 Li.upf
Sr 87.62 Sr.upf
CELL_PARAMETERS angstrom
6.047 -0.026 0.329
-3.011 5.244 0.329
-0.866 -1.488 4.907
ATOMIC_POSITIONS crystal
O 0.034 0.306 0.716
O 0.694 0.966 0.284
O 0.784 0.784 0.731
O 0.216 0.216 0.269
O 0.306 0.034 0.716
O 0.966 0.694 0.284
Tc 0.000 0.000 0.500
Li 0.111 0.889 0.000
Li 0.889 0.111 0.000
Sr 0.663 0.337 0.500
Sr 0.337 0.663 0.500
```

Values from the calculation:
E_form (uncorrected)	-2.04	eV per atom
total magnetization	1.00	μB/f.u.
mass density	3.9	Mg/m³



[2]
## Ho2PuUAs4 (GGA-PBE)

Data for crystalline Ho2PuUAs4 at its relaxed geometry. Values from VASP.

Structure (Quantum ESPRESSO input):
```
&SYSTEM
  ibrav = 0, nat = 8, ntyp = 4
/
ATOMIC_SPECIES
As 74.92 As.upf
Ho 164.93 Ho.upf
U 238.03 U.upf
Pu 244.00 Pu.upf
CELL_PARAMETERS angstrom
-3.691 -1.684 -0.507
2.965 -6.480 -0.063
-1.708 1.740 6.656
ATOMIC_POSITIONS crystal
As 0.500 0.253 0.249
As 0.500 0.747 0.751
As 0.000 0.747 0.249
As 0.000 0.253 0.751
Ho 0.000 0.500 0.500
Ho 0.500 0.000 0.500
U 0.500 0.500 0.000
Pu 0.000 0.000 0.000
```

Values from the calculation:
formation energy	-1.19	eV per atom
total magnetization	3.20	μB/f.u.
mass density	9.5	Mg/m³